[1]
# NaAg2Mo

A relaxed NaAg2Mo crystal (PBE, Alexandria).

crystal system: cubic
E_form: 0.75 eV/atom

abc: 4.788 4.788 4.788
angles: 60.00 60.00 60.00
Element x y z (fractional)
1 Na 0.000 0.000 0.000
2 Ag 0.250 0.250 0.250
3 Ag 0.750 0.750 0.750
4 Mo 0.500 0.500 0.500

[2]
# Ca2AcPrSe4

A relaxed Ca2AcPrSe4 crystal (PBE, Alexandria).

crystal system: monoclinic
formation energy from raw total energies: -1.903 eV per atom

abc: 7.380 4.264 7.527
angles: 90.00 109.07 90.00
Element x y z (fractional)
1 Ca 0.000 0.000 0.000
2 Ca 0.500 0.500 0.000
3 Ac 0.000 0.500 0.500
4 Pr 0.500 0.000 0.500
5 Se 0.251 0.500 0.238
6 Se 0.261 0.000 0.766
7 Se 0.739 0.000 0.234
8 Se 0.749 0.500 0.762

[3]
# Ac2ScAl4Au3

A relaxed Ac2ScAl4Au3 crystal (PBE, Alexandria).

crystal system: tetragonal
E_form: -0.63 eV/atom

abc: 4.468 4.468 11.486
angles: 90.00 90.00 90.00
Element x y z (fractional)
1 Ac 0.000 0.500 0.243
2 Ac 0.500 0.000 0.757
3 Sc 0.000 0.000 0.500
4 Al 0.000 0.000 0.000
5 Al 0.000 0.500 0.649
6 Al 0.500 0.000 0.351
7 Al 0.500 0.500 0.000
8 Au 0.000 0.500 0.877
9 Au 0.500 0.000 0.123
10 Au 0.500 0.500 0.500

[4]
# TaTcAu2

A relaxed TaTcAu2 crystal (PBE, Alexandria).

crystal system: tetragonal
E_form: 0.02 eV/atom

abc: 3.902 3.902 4.386
angles: 90.00 90.00 90.00
Element x y z (fractional)
1 Ta 0.000 0.000 0.000
2 Tc 0.500 0.500 0.000
3 Au 0.000 0.500 0.500
4 Au 0.500 0.000 0.500

[5]
# Ba2NiRu

A relaxed Ba2NiRu crystal (PBE, Alexandria).

crystal system: tetragonal
E_form: 0.77 eV/atom

abc: 6.222 6.222 6.222
angles: 137.76 137.76 61.28
Element x y z (fractional)
1 Ba 0.000 0.000 0.000
2 Ba 0.750 0.250 0.500
3 Ni 0.250 0.750 0.500
4 Ru 0.500 0.500 0.000

[6]
# Ti2GaCo

A relaxed Ti2GaCo crystal (PBE, Alexandria).

crystal system: orthorhombic
E_form: -0.34 eV/atom

abc: 6.181 6.260 6.182
angles: 90.00 90.00 90.00
Element x y z (fractional)
1 Ti 0.222 0.004 0.220
2 Ti 0.222 0.496 0.220
3 Ti 0.278 0.504 0.720
4 Ti 0.278 0.996 0.720
5 Ti 0.722 0.004 0.280
6 Ti 0.722 0.496 0.280
7 Ti 0.778 0.504 0.780
8 Ti 0.778 0.996 0.780
9 Ga 0.003 0.750 0.491
10 Ga 0.497 0.250 0.991
11 Ga 0.503 0.750 0.009
12 Ga 0.997 0.250 0.509
13 Co 0.063 0.250 0.933
14 Co 0.437 0.750 0.433
15 Co 0.563 0.250 0.567
16 Co 0.937 0.750 0.067

[7]
# LaCoHg

A relaxed LaCoHg crystal (PBE, Alexandria).

crystal system: tetragonal
E_form: 0.00 eV/atom

abc: 6.191 6.191 6.191
angles: 148.00 148.00 45.88
Element x y z (fractional)
1 La 0.000 0.000 0.000
2 Co 0.349 0.349 0.000
3 Hg 0.718 0.718 0.000

[8]
# Sb3PN

A relaxed Sb3PN crystal (PBE, Alexandria).

crystal system: cubic
formation energy from raw total energies: 0.807 eV per atom

abc: 4.736 4.736 4.736
angles: 90.00 90.00 90.00
Element x y z (fractional)
1 Sb 0.000 0.000 0.500
2 Sb 0.000 0.500 0.000
3 Sb 0.500 0.000 0.000
4 P 0.500 0.500 0.500
5 N 0.000 0.000 0.000

[9]
# InGaClF2

A relaxed InGaClF2 crystal (PBE, Alexandria).

crystal system: tetragonal
formation energy from raw total energies: -1.485 eV per atom

abc: 4.349 4.349 5.259
angles: 90.00 90.00 90.00
Element x y z (fractional)
1 In 0.000 0.000 0.000
2 Ga 0.500 0.500 0.500
3 Cl 0.500 0.500 0.000
4 F 0.000 0.500 0.500
5 F 0.500 0.000 0.500

[10]
# Sm2Er3Tm8

A relaxed Sm2Er3Tm8 crystal (PBE, Alexandria).

crystal system: orthorhombic
E_form: 0.25 eV/atom

abc: 10.922 10.922 5.477
angles: 90.00 90.00 139.83
Element x y z (fractional)
1 Sm 0.241 0.759 0.000
2 Sm 0.759 0.241 0.000
3 Er 0.000 0.000 0.000
4 Er 0.284 0.284 0.500
5 Er 0.716 0.716 0.500
6 Tm 0.129 0.871 0.500
7 Tm 0.178 0.393 0.000
8 Tm 0.338 0.662 0.500
9 Tm 0.393 0.178 0.000
10 Tm 0.607 0.822 0.000
11 Tm 0.662 0.338 0.500
12 Tm 0.822 0.607 0.000
13 Tm 0.871 0.129 0.500

[11]
# Cd2BiPd

A relaxed Cd2BiPd crystal (PBE, Alexandria).

crystal system: trigonal
E_form: 0.25 eV/atom

abc: 11.298 11.298 11.298
angles: 16.27 16.27 16.27
Element x y z (fractional)
1 Cd 0.080 0.080 0.080
2 Cd 0.920 0.920 0.920
3 Bi 0.500 0.500 0.500
4 Pd 0.000 0.000 0.000

[12]
# Rb2UAgBr6

A relaxed Rb2UAgBr6 crystal (PBE, Alexandria).

crystal system: trigonal
formation energy from raw total energies: -1.261 eV per atom

abc: 14.253 14.253 14.253
angles: 32.68 32.68 32.68
Element x y z (fractional)
1 Rb 0.125 0.125 0.125
2 Rb 0.295 0.295 0.295
3 Rb 0.705 0.705 0.705
4 Rb 0.875 0.875 0.875
5 U 0.418 0.418 0.418
6 U 0.582 0.582 0.582
7 Ag 0.000 0.000 0.000
8 Ag 0.500 0.500 0.500
9 Br 0.114 0.629 0.629
10 Br 0.208 0.208 0.709
11 Br 0.208 0.709 0.208
12 Br 0.291 0.792 0.792
13 Br 0.371 0.371 0.886
14 Br 0.371 0.886 0.371
15 Br 0.629 0.114 0.629
16 Br 0.629 0.629 0.114
17 Br 0.709 0.208 0.208
18 Br 0.792 0.291 0.792
19 Br 0.792 0.792 0.291
20 Br 0.886 0.371 0.371

[13]
# YMgBiRu2

A relaxed YMgBiRu2 crystal (PBE, Alexandria).

crystal system: tetragonal
E_form: 0.95 eV/atom

abc: 5.018 5.018 5.060
angles: 90.00 90.00 90.00
Element x y z (fractional)
1 Y 0.000 0.000 0.000
2 Mg 0.500 0.500 0.000
3 Bi 0.500 0.500 0.500
4 Ru 0.000 0.500 0.500
5 Ru 0.500 0.000 0.500

[14]
# KAg3P

A relaxed KAg3P crystal (PBE, Alexandria).

crystal system: cubic
E_form: 1.52 eV/atom

abc: 5.311 5.311 5.311
angles: 90.00 90.00 90.00
Element x y z (fractional)
1 K 0.000 0.000 0.000
2 Ag 0.000 0.000 0.500
3 Ag 0.000 0.500 0.000
4 Ag 0.500 0.000 0.000
5 P 0.500 0.500 0.500

[15]
# FeP2Os

A relaxed FeP2Os crystal (PBE, Alexandria).

crystal system: orthorhombic
E_form: 0.36 eV/atom

abc: 2.837 3.767 4.987
angles: 90.00 90.00 90.00
Element x y z (fractional)
1 Fe 0.000 0.000 0.000
2 P 0.000 0.500 0.500
3 P 0.500 0.500 0.000
4 Os 0.500 0.000 0.500

[16]
# V2Tc2W

A relaxed V2Tc2W crystal (PBE, Alexandria).

crystal system: tetragonal
E_form: 0.25 eV/atom

abc: 7.138 7.138 2.919
angles: 90.00 90.00 90.00
Element x y z (fractional)
1 V 0.159 0.341 0.000
2 V 0.341 0.841 0.000
3 V 0.659 0.159 0.000
4 V 0.841 0.659 0.000
5 Tc 0.145 0.645 0.500
6 Tc 0.355 0.145 0.500
7 Tc 0.645 0.855 0.500
8 Tc 0.855 0.355 0.500
9 W 0.000 0.000 0.500
10 W 0.500 0.500 0.500

[17]
# Th3ScSb2

A relaxed Th3ScSb2 crystal (PBE, Alexandria).

crystal system: orthorhombic
formation energy from raw total energies: -0.608 eV per atom

abc: 9.831 9.831 9.831
angles: 142.43 54.20 142.41
Element x y z (fractional)
1 Th 0.180 0.241 0.421
2 Th 0.250 0.250 0.000
3 Th 0.320 0.741 0.062
4 Th 0.680 0.259 0.938
5 Th 0.750 0.750 0.000
6 Th 0.820 0.759 0.579
7 Sc 0.250 0.750 0.500
8 Sc 0.750 0.250 0.500
9 Sb 0.133 0.730 0.863
10 Sb 0.367 0.230 0.598
11 Sb 0.633 0.770 0.402
12 Sb 0.867 0.270 0.137

[18]
# CsRbSbF6

A relaxed CsRbSbF6 crystal (PBE, Alexandria).

crystal system: monoclinic
formation energy from raw total energies: -2.566 eV per atom

abc: 6.791 6.791 5.556
angles: 90.01 90.01 120.09
Element x y z (fractional)
1 Cs 0.000 0.000 0.000
2 Rb 0.667 0.333 0.500
3 Sb 0.333 0.667 0.500
4 F 0.079 0.413 0.295
5 F 0.080 0.666 0.706
6 F 0.334 0.920 0.294
7 F 0.336 0.415 0.707
8 F 0.585 0.664 0.293
9 F 0.587 0.921 0.705

[19]
# Nd2TmGa6

A relaxed Nd2TmGa6 crystal (PBE, Alexandria).

crystal system: hexagonal
E_form: -0.65 eV/atom

abc: 7.356 7.356 4.226
angles: 90.00 90.00 120.00
Element x y z (fractional)
1 Nd 0.333 0.667 0.000
2 Nd 0.667 0.333 0.000
3 Tm 0.000 0.000 0.000
4 Ga 0.000 0.332 0.500
5 Ga 0.000 0.668 0.500
6 Ga 0.332 0.000 0.500
7 Ga 0.332 0.332 0.500
8 Ga 0.668 0.000 0.500
9 Ga 0.668 0.668 0.500

[20]
# NiPb3C

A relaxed NiPb3C crystal (PBE, Alexandria).

crystal system: cubic
E_form: 1.33 eV/atom

abc: 5.058 5.058 5.058
angles: 90.00 90.00 90.00
Element x y z (fractional)
1 Ni 0.000 0.000 0.000
2 Pb 0.000 0.000 0.500
3 Pb 0.000 0.500 0.000
4 Pb 0.500 0.000 0.000
5 C 0.500 0.500 0.500

Mass density
In order: 7.16, 5.67, 8.68, 16.73, 6.70, 6.23, 9.97, 6.41, 4.31, 8.49, 9.09, 4.41, 6.83, 4.36, 9.60, 10.76, 9.32, 3.40, 7.34, 8.88
Unit: g/cm3
E
In order: -3.7106, -5.2562, -4.5661, -7.1774, -3.9557, -6.8256, -4.1088, -4.4138, -3.7557, -4.2813, -2.4801, -3.8718, -5.1510, -1.4961, -7.2684, -10.1379, -6.7474, -4.4742, -4.2209, -3.8964
Unit: eV/atom